Entry from Alexandria: crystalline ZnHSeBr2 at its relaxed geometry (PBE).

```
ZnHSeBr2
1.0
5.269 0.000 0.000
0.000 5.269 0.000
0.000 0.000 5.053
Zn H Se Br
1 1 1 2
Direct
0.000 0.000 0.000 Zn
0.500 0.500 0.500 H
0.000 0.000 0.500 Se
0.000 0.500 0.000 Br
0.500 0.000 0.000 Br
```

Computed properties:
Uncorrected energy, eV per cell: -9.2
Density of states at the Fermi level, states/eV per atom: 0.563